Below is VN2F after structural relaxation, with properties calculated at the GGA+U level.

Computed properties:
**Calculated volume**: 10.5 Å³/atom
**Energy**: -24.7 eV for the cell shown

Cell: 5.822 5.822 5.822 Å, 29.39 29.39 29.39°
Sites, in units of the cell vectors:
V (0.000, 0.000, 0.000)
N (0.394, 0.394, 0.394)
N (0.606, 0.606, 0.606)
F (0.500, 0.500, 0.500)